(1)
VASP calculation (PBE-GGA) on an optimized crystal structure of K2PrBr5.

Properties
The calculation puts the total energy at -3.652 eV/atom. The uncorrected formation energy is -1735 meV per atom. For the energy above the lowest structure with this stoichiometry, the calculation gives 11.3 kJ per mole of atoms. Its mass density is 2.24 g/cm3.

a = 8.525 Å, b = 8.523 Å, c = 8.732 Å
α = 119.18°, β = 119.23°, γ = 90.02°
Sites, in units of the cell vectors:
Br1 0.284 0.284 0.107
Br2 0.769 0.770 0.540
K1 0.652 0.152 0.304
Br3 0.824 0.824 0.107
Br4 0.824 0.284 0.107
K2 0.152 0.652 0.304
Pr1 0.989 0.989 0.978
Br5 0.284 0.824 0.107


(2)
VASP calculation (PBE-GGA) on an optimized crystal structure of Cs2DySb2S6.

Properties
The calculation puts the total energy at -4.442 eV/atom. The uncorrected formation energy is -868 meV per atom. Its mass density is 3.88 g/cm3.

a = 7.457 Å, b = 7.310 Å, c = 8.842 Å
α = 112.79°, β = 90.00°, γ = 120.67°
Sites, in units of the cell vectors:
Cs1 0.297 0.594 0.826
S1 0.265 0.530 0.416
Dy1 0.500 0.000 0.500
Sb1 0.940 0.881 0.794
Sb2 0.060 0.119 0.206
S2 0.735 0.470 0.584
Cs2 0.703 0.406 0.174
S3 0.697 0.914 0.238
S4 0.783 0.086 0.762
S5 0.217 0.914 0.238
S6 0.303 0.086 0.762


(3)
VASP calculation (PBE-GGA) on an optimized crystal structure of Dy4HoTe2.

Properties
The calculation puts the total energy at -4.686 eV/atom. The uncorrected formation energy is -505 meV per atom. Its mass density is 7.92 g/cm3.

a = 5.415 Å, b = 5.415 Å, c = 9.377 Å
α = 73.22°, β = 73.22°, γ = 60.00°
Sites, in units of the cell vectors:
Te1 0.617 0.617 0.150
Dy1 0.134 0.134 0.598
Dy2 0.735 0.735 0.796
Te2 0.383 0.383 0.850
Dy3 0.265 0.265 0.204
Ho1 0.500 0.500 0.500
Dy4 0.866 0.866 0.402


(4)
VASP calculation (PBE-GGA) on an optimized crystal structure of Ac2SeS.

Properties
The calculation puts the total energy at -5.613 eV/atom. The uncorrected formation energy is -1656 meV per atom. For the energy above the lowest structure with this stoichiometry, the calculation gives 27.6 kJ per mole of atoms. Its mass density is 8.69 g/cm3.

a = 3.777 Å, b = 3.777 Å, c = 7.565 Å
α = 90.00°, β = 90.00°, γ = 90.00°
Sites, in units of the cell vectors:
Se1 0.500 0.500 0.500
Ac1 0.000 0.000 0.755
S1 0.500 0.500 0.000
Ac2 0.000 0.000 0.245